## PmU2O6 (PBE)

Data for PmU2O6 after structural relaxation.

Cell lengths 3.870, 3.870, 9.321 Å; angles 90.00, 90.00, 120.00 degrees
Atoms (fractional coordinates):
Pm: 0.000 0.000 0.000
U: 0.333 0.667 0.667
U: 0.667 0.333 0.333
O: 0.000 0.000 0.268
O: 0.333 0.667 0.899
O: 0.667 0.333 0.579
O: 0.667 0.333 0.101
O: 0.000 0.000 0.732
O: 0.333 0.667 0.421

Summary:
Volume: 121 Å³ per cell
ΔE_f (raw): -3.3855 eV/atom